Entry from Alexandria: LaCdTe2N after structural relaxation (GGA-PBE).

Results
* SG: P4/mmm (123)
* N(E_F): 0.678 states/eV per atom
* E above lowest polymorph: 62 meV per atom
* raw formation energy: 0.146 eV/atom

```
data_LaCdTe2N
_chemical_formula_sum 'La1 Cd1 Te2 N1'
_space_group_name_H-M_alt 'P 1'
_space_group_IT_number 1
_space_group_name_Hall 'P 1'
_cell_length_a 6.4986
_cell_length_b 6.4986
_cell_length_c 4.0251
_cell_angle_alpha 90.00
_cell_angle_beta 90.00
_cell_angle_gamma 90.00
loop_
_atom_site_label
_atom_site_type_symbol
_atom_site_fract_x
_atom_site_fract_y
_atom_site_fract_z
_atom_site_occupancy
La1 La 0.0000 0.0000 0.0000 1
N1 N 0.0000 0.0000 0.5000 1
Te1 Te 0.5000 0.0000 0.0000 1
Te2 Te 0.0000 0.5000 0.0000 1
Cd1 Cd 0.5000 0.5000 0.5000 1
```